No. 1
18
Lattice="-5.037 1.237 -6.941 5.883 -3.964 -4.975 -3.965 -5.568 7.293" Properties=species:S:1:pos:R:3 comment="Nd2SmDyY5, optimized geometry, DFT PBE-GGA" ef_ev_per_atom=0.2478 space_group=I4/mcm pbc="T T T"
Y -3.217 -4.110 3.863
Y 0.000 0.000 0.000
Y -3.257 -2.102 -6.567
Y 0.137 -6.194 1.944
Y -1.899 -5.900 -1.934
Nd 1.651 -1.367 -2.720
Y -1.221 -2.396 -2.688
Nd 3.264 -3.024 -7.037
Sm -4.290 -2.847 -2.803
Y 0.423 -1.364 -5.958
Dy -1.348 -4.830 -5.290
Y 0.097 -4.186 -8.485
Nd -2.418 0.296 -4.879
Y -5.253 -3.816 -0.016
Y 2.133 -4.479 -4.607
Nd -0.805 -1.360 -9.196
Sm 1.170 -5.448 -1.820
Dy -1.771 -3.466 0.668

=====

No. 2
4
Lattice="3.568 0.000 0.000 1.784 3.090 0.000 1.784 1.030 10.514" Properties=species:S:1:pos:R:3 comment="Tb2YAg, optimized geometry, DFT PBE-GGA" ef_ev_per_atom=-0.0196 space_group=R-3m e_above_lowest_polymorph_mev_per_atom=109 pbc="T T T"
Y 3.568 2.060 5.257
Tb 1.784 1.030 2.362
Tb 5.352 3.090 8.152
Ag 0.000 0.000 0.000

=====

No. 3
4
Lattice="3.906 0.000 0.000 1.953 3.383 0.000 1.953 1.128 7.447" Properties=species:S:1:pos:R:3 comment="Ge2PSe, optimized geometry, DFT PBE-GGA" space_group=R-3m e_form_raw_mev_per_atom=236 e_above_lowest_polymorph_mev_per_atom=255 pbc="T T T"
P 3.906 2.255 3.724
Se 0.000 0.000 0.000
Ge 1.953 1.128 5.038
Ge 5.859 3.383 2.410

=====

No. 4
11
Lattice="3.572 0.000 0.000 0.000 9.369 0.000 -1.786 -4.685 11.884" Properties=species:S:1:pos:R:3 comment="La5Tb4Sm2, optimized geometry, DFT PBE-GGA" ef_ev_per_atom=0.1721 space_group=Immm e_above_lowest_polymorph_mev_per_atom=99 pbc="T T T"
Tb 0.000 6.437 0.000
La 1.786 0.000 0.000
Sm 0.000 0.000 6.387
Tb 0.000 0.000 9.596
La 0.000 1.887 3.487
La 1.786 2.798 8.397
Tb 1.786 4.685 2.288
La 1.786 -2.798 8.397
Sm 1.786 4.685 5.497
Tb 0.000 2.933 0.000
La 0.000 7.482 3.487

=====

No. 5
10
Lattice="-2.620 3.156 1.957 0.758 -2.400 4.886 4.259 2.761 0.695" Properties=species:S:1:pos:R:3 comment="V3SnH, optimized geometry, DFT PBE-GGA" final_energy_ev_per_atom=-6.99 space_group=P2_1/m pbc="T T T"
V 1.420 -0.199 4.319
V 3.337 1.983 3.414
V -0.940 1.534 4.124
V -0.594 0.438 6.357
Sn 1.006 1.190 1.974
Sn 1.392 2.327 5.564
V 2.991 3.079 1.181
H 2.744 3.752 2.962
H -0.347 -0.234 4.576
V 0.977 3.716 3.219

=====

No. 6
12
Lattice="-1.220 4.927 2.773 -7.129 -1.818 6.124 3.623 0.522 6.698" Properties=species:S:1:pos:R:3 comment="La7DyAl4, optimized geometry, DFT PBE-GGA" ef_ev_per_atom=-0.0960 space_group=C2/m pbc="T T T"
La -2.561 2.926 5.738
La -1.114 4.298 9.968
La 0.626 1.038 4.463
La -5.352 2.592 11.133
Al -2.667 1.013 3.057
La -2.165 0.705 9.857
La -0.610 2.463 1.387
Al 0.014 2.630 7.395
Al -2.059 2.617 12.538
La -3.612 -0.668 5.628
Al -4.740 1.000 8.200
Dy 0.000 0.000 0.000

=====

No. 7
7
Lattice="3.522 0.000 0.000 -1.761 5.700 1.490 0.000 0.850 11.818" Properties=species:S:1:pos:R:3 comment="Pr2Y2Ho2Tm, optimized geometry, DFT PBE-GGA" ef_ev_per_atom=0.0854 space_group=C2/m pbc="T T T"
Pr 1.761 2.746 11.303
Ho 0.000 3.153 8.166
Tm 0.000 0.425 5.909
Y 1.761 0.739 2.879
Pr 0.000 3.804 2.004
Ho 1.761 3.397 5.142
Y 0.000 5.811 10.428

=====

No. 8
20
Lattice="-2.447 -2.493 -2.370 5.638 -4.148 -1.459 -1.217 -5.428 10.727" Properties=species:S:1:pos:R:3 comment="Nd2P3Pd5, optimized geometry, DFT PBE-GGA" ef_ev_per_atom=-0.8694 space_group=Cmc2_1 pbc="T T T"
Nd 2.043 -9.549 7.935
Pd -2.964 -7.507 7.199
Pd -2.306 -4.292 3.136
Pd -0.019 -5.342 1.879
P 1.540 -5.094 0.009
P -0.723 -9.314 6.785
Pd 0.428 -2.474 2.161
P 1.417 -7.839 3.023
P 0.061 -3.865 4.003
Pd 2.984 -3.124 0.205
P -1.450 -5.589 7.377
Nd 0.197 -2.716 -1.106
Nd 3.345 -5.437 2.264
Pd 1.510 -5.740 4.478
Pd 0.461 -7.137 7.032
Nd -1.423 -6.594 4.647
Pd 3.533 -6.418 -0.657
P 5.316 -4.682 -0.565
Pd 0.827 -9.065 4.923
Pd 3.433 -7.786 4.645

=====

No. 9
4
Lattice="0.000 3.823 3.823 3.823 0.000 3.823 3.823 3.823 0.000" Properties=species:S:1:pos:R:3 comment="Sr2MoPd, optimized geometry, DFT PBE-GGA" ef_ev_per_atom=0.5807 space_group=Fm-3m e_above_lowest_polymorph_mev_per_atom=0 pbc="T T T"
Sr 5.735 5.735 5.735
Mo 0.000 0.000 0.000
Sr 1.912 1.912 1.912
Pd 3.823 3.823 3.823

=====

No. 10
4
Lattice="-2.275 1.612 1.152 -2.610 -0.096 -5.019 -2.040 -3.687 1.131" Properties=species:S:1:pos:R:3 comment="InCu2Cl, optimized geometry, DFT PBE-GGA" space_group=Pmmm e_form_raw_mev_per_atom=154 e_above_lowest_polymorph_mev_per_atom=250 pbc="T T T"
Cu 0.000 0.000 0.000
In -2.157 -1.038 1.142
Cl -2.325 -1.892 -1.944
Cu -2.442 0.758 -1.933

=====

No. 11
5
Lattice="6.878 0.000 0.000 0.000 6.878 0.000 0.000 0.000 6.501" Properties=species:S:1:pos:R:3 comment="Cs2KAgAu, optimized geometry, DFT PBE-GGA" ef_ev_per_atom=-0.0085 space_group=P4mm e_above_lowest_polymorph_mev_per_atom=8 pbc="T T T"
Au 0.000 0.000 6.436
Cs 3.439 6.878 6.228
Ag 3.439 3.439 3.940
Cs 0.000 3.439 6.228
K 0.000 6.878 3.171

=====

No. 12
5
Lattice="-4.365 1.630 -1.912 -0.786 -4.527 -2.063 -2.387 -1.490 4.178" Properties=species:S:1:pos:R:3 comment="ZrP3Cl, optimized geometry, DFT PBE-GGA" space_group=Pm-3m e_form_raw_mev_per_atom=440 e_above_lowest_polymorph_mev_per_atom=0 pbc="T T T"
P -0.393 -2.264 -1.032
Cl -3.769 -2.193 0.101
Zr 0.000 0.000 0.000
P -1.193 -0.745 2.089
P -2.183 0.815 -0.956